Entry 1:
Density functional theory data (PBE with a Hubbard U) for an optimized crystal structure of Nd2MnCuO6.

Calculated values
Energy = -7.33 eV/atom
Total moment = 8.04 μB/cell

extended XYZ file:
```
20
Lattice="5.4725 0.0000 0.0000 0.0000 5.7692 0.0000 -5.4601 0.0000 7.5773" Properties=species:S:1:pos:R:3 pbc="T T T"
Nd -0.0782 0.3765 1.8913
Nd -2.8083 2.5081 5.6800
Nd 2.8206 3.2611 1.8973
Nd 0.0906 5.3927 5.6860
Mn 2.7362 0.0000 0.0000
Mn 0.0062 2.8846 3.7886
Cu -2.7301 0.0000 3.7886
Cu 0.0000 2.8846 0.0000
O -4.2876 1.0802 7.2363
O -1.5575 1.8044 3.4476
O -3.7650 4.1256 7.2227
O -1.0349 4.5281 3.4341
O -2.2376 0.1458 5.6869
O 0.4925 2.7387 1.8983
O -0.4801 3.0304 5.6790
O 2.2499 5.6233 1.8904
O 1.0472 1.2411 4.1432
O 3.7773 1.6435 0.3546
O 1.5699 3.9647 4.1297
O 4.2999 4.6890 0.3410
```


Entry 2:
Density functional theory data (PBE with a Hubbard U) for an optimized crystal structure of NdMn5Cu2O12.

Calculated values
Energy = -7.05 eV/atom
Total moment = 19.17 μB/cell

extended XYZ file:
```
20
Lattice="-3.6927 3.7550 3.7888 3.6927 -3.7550 3.7888 3.6927 3.7550 -3.7888" Properties=species:S:1:pos:R:3 pbc="T T T"
Nd 0.0000 0.0000 0.0000
Mn 1.8463 1.8775 -1.8944
Mn 1.8463 -1.8775 1.8944
Mn -1.8463 1.8775 1.8944
Mn 0.0000 0.0000 3.7888
Mn 1.8463 1.8775 1.8944
Cu 3.6927 0.0000 0.0000
Cu 0.0000 3.7550 0.0000
O 3.6927 2.4660 -1.5034
O 2.2513 0.0000 1.2782
O 5.1341 0.0000 1.2782
O 1.3099 2.3405 0.0000
O 2.3827 -1.4145 3.7888
O 0.0000 1.2890 2.2854
O 3.6927 2.4660 1.5034
O 1.3099 5.1695 0.0000
O 2.3827 1.4145 3.7888
O -1.4414 3.7550 2.5106
O 1.4414 3.7550 2.5106
O 0.0000 1.2890 5.2922
```